Tb2TmCo | GGA-PBE | relaxed

Results
The calculation puts the total DFT energy (no corrections) at -78.9 eV for the cell shown. Its calculated formation energy is 280 meV per atom. The polymorph energy (0 for the lowest one) is 0.442 eV per atom.

a = 7.319 Å, b = 7.319 Å, c = 7.319 Å
α = 90.00°, β = 90.00°, γ = 90.00°
Space group Fm-3m (No. 225)
Symmetry-distinct sites (fractional):
Tb  0.250  0.250  0.250 (multiplicity 8)
Tm  0.000  0.000  0.000 (multiplicity 4)
Co  0.000  0.000  0.500 (multiplicity 4)